# 1
Nd8IrRu3Br4 | PBE-GGA | relaxed

a b c (Å): 8.2125 9.1772 8.2188
angles (deg): 116.69 119.97 90.00
Element x y z (fractional)
Ru (0.5000, 0.5000, 0.0000)
Ru (0.0000, 0.5000, 0.5000)
Ru (0.5000, 0.5000, 0.5000)
Ir (0.0000, 0.5000, 0.0000)
Br (0.5000, 0.0000, 0.5000)
Br (0.0000, 0.0000, 0.5000)
Br (0.0000, 0.0000, 0.0000)
Br (0.5000, 0.0000, 0.0000)
Nd (0.2341, 0.6964, 0.9624)
Nd (0.2675, 0.3025, 0.5349)
Nd (0.7325, 0.6975, 0.4651)
Nd (0.7659, 0.3037, 0.5317)
Nd (0.7283, 0.6964, 0.9624)
Nd (0.2717, 0.3036, 0.0376)
Nd (0.7659, 0.3036, 0.0376)
Nd (0.2341, 0.6963, 0.4683)

## Properties
Space group: No. 12

# 2
Nd6Ir2SBr2 | PBE-GGA | relaxed

a b c (Å): 7.2490 7.2490 7.6301
angles (deg): 98.93 98.93 118.68
Element x y z (fractional)
Nd (0.0732, 0.4114, 0.7089)
Nd (0.5886, 0.9268, 0.2911)
Nd (0.4114, 0.0732, 0.7089)
Nd (0.9268, 0.5886, 0.2911)
Nd (0.2896, 0.2896, 0.2897)
Nd (0.7104, 0.7104, 0.7103)
Br (0.8380, 0.1620, 0.0000)
Br (0.1620, 0.8380, 0.0000)
Ir (0.6703, 0.3297, 0.5000)
Ir (0.3297, 0.6703, 0.5000)
S (0.0000, 0.0000, 0.5000)

## Properties
Space group: No. 12

# 3
Nd6Ir2SBr3 | PBE-GGA | relaxed

a b c (Å): 7.2944 7.2944 8.0001
angles (deg): 98.70 98.70 119.97
Element x y z (fractional)
S (0.0000, 0.0000, 0.0000)
Nd (0.0665, 0.4146, 0.1978)
Nd (0.7172, 0.7172, 0.1969)
Nd (0.2828, 0.2828, 0.8031)
Nd (0.5854, 0.9335, 0.8022)
Nd (0.9335, 0.5854, 0.8022)
Nd (0.4146, 0.0665, 0.1978)
Br (0.8372, 0.1628, 0.5000)
Br (0.5000, 0.5000, 0.5000)
Br (0.1628, 0.8372, 0.5000)
Ir (0.6671, 0.3329, 0.0000)
Ir (0.3329, 0.6671, 0.0000)

## Properties
Space group: No. 12

# 4
Nd8Ir3SBr3 | PBE-GGA | relaxed

a b c (Å): 8.4431 8.4430 8.8386
angles (deg): 118.52 90.01 119.99
Element x y z (fractional)
S (0.0000, 0.0000, 0.5000)
Nd (0.2440, 0.4881, 0.7071)
Nd (0.7190, 0.9629, 0.7067)
Nd (0.2439, 0.9630, 0.7068)
Nd (0.7335, 0.4670, 0.7005)
Nd (0.2810, 0.0371, 0.2933)
Nd (0.7560, 0.5119, 0.2929)
Nd (0.2665, 0.5330, 0.2995)
Nd (0.7561, 0.0370, 0.2932)
Ir (0.0000, 0.5000, 0.5000)
Ir (0.5000, 0.0000, 0.5000)
Ir (0.5000, 0.5000, 0.5000)
Br (0.5000, 0.5000, 0.0000)
Br (0.0000, 0.0000, 0.0000)
Br (0.0000, 0.5000, 0.0000)

## Properties
Space group: No. 166

# 5
Nd8Ir3SBr4 | PBE-GGA | relaxed

a b c (Å): 8.4026 9.0806 8.4026
angles (deg): 117.56 120.00 90.00
Element x y z (fractional)
Br (0.0000, 0.0000, 0.5000)
Br (0.0000, 0.0000, 0.0000)
Br (0.5000, 0.0000, 0.5000)
Br (0.5000, 0.0000, 0.0000)
Nd (0.7613, 0.3028, 0.0415)
Nd (0.7315, 0.6945, 0.4630)
Nd (0.7612, 0.3027, 0.5224)
Nd (0.2685, 0.3055, 0.5370)
Nd (0.2387, 0.6972, 0.9585)
Nd (0.7198, 0.6972, 0.9585)
Nd (0.2802, 0.3028, 0.0415)
Nd (0.2388, 0.6973, 0.4776)
Ir (0.5000, 0.5000, 0.0000)
Ir (0.5000, 0.5000, 0.5000)
Ir (0.0000, 0.5000, 0.5000)
S (0.0000, 0.5000, 0.0000)

## Properties
Space group: No. 166

# 6
Nd6Ir2Se3Br | PBE-GGA | relaxed

a b c (Å): 4.1413 8.7862 9.5788
angles (deg): 104.57 102.48 90.00
Element x y z (fractional)
Nd (0.0125, 0.2757, 0.0251)
Nd (0.3283, 0.4247, 0.6567)
Nd (0.3227, 0.8808, 0.6455)
Nd (0.9875, 0.7243, 0.9749)
Nd (0.6773, 0.1192, 0.3545)
Nd (0.6717, 0.5753, 0.3433)
Se (0.5000, 0.5000, 0.0000)
Se (0.1567, 0.8432, 0.3134)
Se (0.8433, 0.1568, 0.6866)
Ir (0.8314, 0.6619, 0.6629)
Ir (0.1686, 0.3381, 0.3371)
Br (0.5000, 0.0000, 0.0000)

## Properties
Space group: No. 12

# 7
Nd4SiIrBr2 | PBE-GGA | relaxed

a b c (Å): 4.1660 7.5621 7.8496
angles (deg): 107.06 90.00 90.00
Element x y z (fractional)
Nd (0.0000, 0.7458, 0.2020)
Nd (0.0000, 0.2542, 0.7980)
Nd (0.5000, 0.2244, 0.1988)
Nd (0.5000, 0.7756, 0.8012)
Si (0.5000, 0.5000, 0.0000)
Br (0.0000, 0.5000, 0.5000)
Br (0.5000, 0.0000, 0.5000)
Ir (0.0000, 0.0000, 0.0000)

## Properties
Space group: No. 10

# 8
Nd6SnIr2Br3 | PBE-GGA | relaxed

a b c (Å): 4.2569 9.1912 10.1016
angles (deg): 106.82 102.16 90.00
Element x y z (fractional)
Nd (0.3338, 0.8647, 0.6676)
Nd (0.3200, 0.4397, 0.6401)
Nd (0.6662, 0.1353, 0.3324)
Nd (0.9766, 0.7453, 0.9532)
Nd (0.0234, 0.2547, 0.0468)
Nd (0.6800, 0.5603, 0.3599)
Br (0.5000, 0.5000, 0.0000)
Br (0.8370, 0.1565, 0.6741)
Br (0.1630, 0.8435, 0.3259)
Ir (0.8297, 0.6557, 0.6594)
Ir (0.1703, 0.3443, 0.3406)
Sn (0.5000, 0.0000, 0.0000)

## Properties
Space group: No. 12

# 9
TbNdIrBr | PBE-GGA | relaxed

a b c (Å): 4.1084 4.1083 8.1391
angles (deg): 90.00 104.63 120.01
Element x y z (fractional)
Br (0.9631, 0.3799, 0.3574)
Ir (0.3082, 0.5519, 0.8756)
Tb (0.0973, 0.9465, 0.0592)
Nd (0.5093, 0.1525, 0.6774)

## Properties
Space group: No. 160

# 10
Nd6Te3Ir2Br | PBE-GGA | relaxed

a b c (Å): 4.2692 9.0773 9.9445
angles (deg): 105.09 102.40 90.00
Element x y z (fractional)
Te (0.1549, 0.8449, 0.3099)
Te (0.8451, 0.1551, 0.6901)
Te (0.5000, 0.5000, 0.0000)
Nd (0.9796, 0.7329, 0.9592)
Nd (0.6769, 0.1330, 0.3537)
Nd (0.3247, 0.4351, 0.6494)
Nd (0.6753, 0.5649, 0.3506)
Nd (0.0204, 0.2671, 0.0408)
Nd (0.3231, 0.8670, 0.6463)
Ir (0.8303, 0.6599, 0.6607)
Ir (0.1697, 0.3401, 0.3393)
Br (0.5000, 0.0000, 0.0000)

## Properties
Space group: No. 12

# 11
Nd8TeIr3Br4 | PBE-GGA | relaxed

a b c (Å): 8.5960 9.1150 8.5956
angles (deg): 118.13 120.00 90.00
Element x y z (fractional)
Br (0.0000, 0.0000, 0.0000)
Br (0.5000, 0.0000, 0.0000)
Br (0.0000, 0.0000, 0.5000)
Br (0.5000, 0.0000, 0.5000)
Nd (0.7048, 0.7028, 0.9537)
Nd (0.7313, 0.6936, 0.4625)
Nd (0.7511, 0.2972, 0.0463)
Nd (0.2687, 0.3064, 0.5375)
Nd (0.7512, 0.2976, 0.5025)
Nd (0.2488, 0.7024, 0.4975)
Nd (0.2489, 0.7028, 0.9537)
Nd (0.2952, 0.2972, 0.0463)
Ir (0.5000, 0.5000, 0.5000)
Ir (0.5000, 0.5000, 0.0000)
Ir (0.0000, 0.5000, 0.5000)
Te (0.0000, 0.5000, 0.0000)

## Properties
Space group: No. 166

# 12
Nd4TeIrBr2 | PBE-GGA | relaxed

a b c (Å): 4.2087 7.9869 7.8213
angles (deg): 108.30 90.00 90.00
Element x y z (fractional)
Nd (0.0000, 0.2962, 0.7985)
Nd (0.5000, 0.2773, 0.2211)
Nd (0.5000, 0.7227, 0.7789)
Nd (0.0000, 0.7038, 0.2015)
Te (0.0000, 0.0000, 0.0000)
Br (0.0000, 0.5000, 0.5000)
Br (0.5000, 0.0000, 0.5000)
Ir (0.5000, 0.5000, 0.0000)

## Properties
Space group: No. 10

# 13
NdThIrBr | PBE-GGA | relaxed

a b c (Å): 4.1914 4.1907 8.3176
angles (deg): 89.98 104.60 120.01
Element x y z (fractional)
Ir (0.3102, 0.5529, 0.8787)
Th (0.0930, 0.9442, 0.0528)
Nd (0.5096, 0.1528, 0.6778)
Br (0.9651, 0.3809, 0.3604)

## Properties
Space group: No. 160

# 14
Nd6TlIr2Br3 | PBE-GGA | relaxed

a b c (Å): 4.1734 9.2161 10.3246
angles (deg): 106.80 101.66 90.00
Element x y z (fractional)
Nd (0.3165, 0.4337, 0.6329)
Nd (0.6640, 0.1323, 0.3281)
Nd (0.6835, 0.5663, 0.3671)
Nd (0.0270, 0.2663, 0.0540)
Nd (0.3360, 0.8677, 0.6719)
Nd (0.9730, 0.7337, 0.9460)
Br (0.1682, 0.8458, 0.3365)
Br (0.8318, 0.1542, 0.6636)
Br (0.5000, 0.5000, 0.0000)
Ir (0.1701, 0.3453, 0.3401)
Ir (0.8299, 0.6547, 0.6599)
Tl (0.5000, 0.0000, 0.0000)

## Properties
Space group: No. 12

# 15
Nd6ZnIr2Br3 | PBE-GGA | relaxed

a b c (Å): 7.2792 7.2792 8.1542
angles (deg): 98.56 98.56 120.00
Element x y z (fractional)
Ir (0.3333, 0.6667, 0.0000)
Ir (0.6667, 0.3333, 0.0000)
Nd (0.7153, 0.7153, 0.2012)
Nd (0.0669, 0.4187, 0.2012)
Nd (0.2847, 0.2847, 0.7988)
Nd (0.5813, 0.9331, 0.7988)
Nd (0.9331, 0.5813, 0.7988)
Nd (0.4187, 0.0669, 0.2012)
Br (0.8336, 0.1664, 0.5000)
Br (0.1664, 0.8336, 0.5000)
Br (0.5000, 0.5000, 0.5000)
Zn (0.0000, 0.0000, 0.0000)

## Properties
Space group: No. 12

# 16
NiIrBr2 | PBE-GGA | relaxed

a b c (Å): 4.6773 4.6773 4.6773
angles (deg): 60.00 60.00 60.00
Site moments in Bohr magnetons follow the coordinates.
Element x y z (fractional)
Br (0.2500, 0.2500, 0.2500)  0.03
Br (0.0000, 0.0000, 0.0000)  0.08
Ir (0.5000, 0.5000, 0.5000)  0.83
Ni (0.7500, 0.7500, 0.7500)  0.79

## Properties
Relative energy among the computed polymorphs (kJ/mol of atoms): 103.0
Space group: No. 216

# 17
NiIrBr2 | PBE-GGA | relaxed

a b c (Å): 3.7181 3.7181 7.8960
angles (deg): 74.78 74.78 60.01
Element x y z (fractional)
Br (0.7811, 0.7811, 0.6278)
Br (0.9702, 0.9702, 0.1189)
Ni (0.1762, 0.1762, 0.4612)
Ir (0.5725, 0.5725, 0.2921)

## Properties
Relative energy among the computed polymorphs (kJ/mol of atoms): 0.0
Space group: No. 8

# 18
NiIrBr2 | PBE-GGA | relaxed

a b c (Å): 3.3615 3.3615 8.0708
angles (deg): 90.00 90.00 125.16
Site moments in Bohr magnetons follow the coordinates.
Element x y z (fractional)
Ni (0.5000, 0.5000, 0.7500)  0.37
Ir (0.5000, 0.5000, 0.2500)  0.00
Br (0.0000, 0.0000, 0.5156)  0.01
Br (0.0000, 0.0000, 0.9844)  0.01

## Properties
Relative energy among the computed polymorphs (kJ/mol of atoms): 60.5
Space group: No. 65

# 19
NiIrBr2 | PBE-GGA | relaxed

a b c (Å): 5.9380 7.3466 3.1035
angles (deg): 114.83 58.59 136.75
Site moments in Bohr magnetons follow the coordinates.
Element x y z (fractional)
Br (0.0000, 0.0000, 0.0000)  0.03
Br (0.0000, 0.5000, 0.5000)  0.03
Ir (0.5000, 0.5000, 0.0000)  0.04
Ni (0.5000, 0.0000, 0.5000)  0.52

## Properties
Relative energy among the computed polymorphs (kJ/mol of atoms): 57.0
Space group: No. 12

# 20
NiIrBr2 | PBE-GGA | relaxed

a b c (Å): 3.6559 4.7459 6.8928
angles (deg): 131.18 90.00 90.00
Site moments in Bohr magnetons follow the coordinates.
Element x y z (fractional)
Br (0.0000, 0.2439, 0.4920)  0.04
Br (0.0000, 0.2561, 0.0080)  0.04
Ir (0.5000, 0.2500, 0.2500)  0.06
Ni (0.5000, 0.7500, 0.7500)  0.55

## Properties
Relative energy among the computed polymorphs (kJ/mol of atoms): 34.4
Space group: No. 10

Number 1: electronic total energy -95.0 eV for the cell shown, spin magnetization 0.00 μB/f.u., ΔE_f (raw) -0.840 eV per atom. Number 2: electronic total energy -65.8 eV for the cell shown, spin magnetization 0.00 μB/f.u., ΔE_f (raw) -1.087 eV per atom. Number 3: electronic total energy -70.6 eV for the cell shown, spin magnetization 0.00 μB/f.u., ΔE_f (raw) -1.261 eV per atom. Number 4: electronic total energy -89.8 eV for the cell shown, spin magnetization 0.00 μB/f.u., ΔE_f (raw) -1.064 eV per atom. Number 5: electronic total energy -94.7 eV for the cell shown, spin magnetization 0.00 μB/f.u., ΔE_f (raw) -1.199 eV per atom. Number 6: electronic total energy -74.6 eV for the cell shown, spin magnetization 0.00 μB/f.u., ΔE_f (raw) -1.344 eV per atom. Number 7: electronic total energy -45.0 eV for the cell shown, spin magnetization 0.00 μB/f.u., ΔE_f (raw) -1.034 eV per atom. Number 8: electronic total energy -67.9 eV for the cell shown, spin magnetization 0.00 μB/f.u., ΔE_f (raw) -1.050 eV per atom. Number 9: electronic total energy -24.3 eV for the cell shown, spin magnetization 0.00 μB/f.u., ΔE_f (raw) -1.084 eV per atom. Number 10: electronic total energy -71.3 eV for the cell shown, spin magnetization 0.00 μB/f.u., ΔE_f (raw) -1.159 eV per atom. Number 11: electronic total energy -92.3 eV for the cell shown, spin magnetization 0.00 μB/f.u., ΔE_f (raw) -1.106 eV per atom. Number 12: electronic total energy -43.8 eV for the cell shown, spin magnetization 0.00 μB/f.u., ΔE_f (raw) -1.167 eV per atom. Number 13: electronic total energy -27.0 eV for the cell shown, spin magnetization 0.00 μB/f.u., ΔE_f (raw) -1.079 eV per atom. Number 14: electronic total energy -65.4 eV for the cell shown, spin magnetization 0.00 μB/f.u., ΔE_f (raw) -0.971 eV per atom. Number 15: electronic total energy -64.1 eV for the cell shown, spin magnetization 0.00 μB/f.u., ΔE_f (raw) -0.960 eV per atom. Number 16: electronic total energy -12.9 eV for the cell shown, spin magnetization 1.74 μB/f.u., ΔE_f (raw) 1.265 eV per atom. Number 17: electronic total energy -17.2 eV for the cell shown, spin magnetization 0.00 μB/f.u., ΔE_f (raw) 0.198 eV per atom. Number 18: electronic total energy -14.7 eV for the cell shown, spin magnetization 0.39 μB/f.u., ΔE_f (raw) 0.825 eV per atom. Number 19: electronic total energy -14.8 eV for the cell shown, spin magnetization 0.62 μB/f.u., ΔE_f (raw) 0.788 eV per atom. Number 20: electronic total energy -15.8 eV for the cell shown, spin magnetization 0.69 μB/f.u., ΔE_f (raw) 0.554 eV per atom.